{
  "formula": "AcAgSn2",
  "functional": "PBE",
  "state": "optimized geometry",
  "energy_ev_per_atom": -3.981,
  "cell": [[0.0000, 3.8454, 3.8454], [3.8454, 0.0000, 3.8454], [3.8454, 3.8454, 0.0000]],
  "species": ["Ac", "Ag", "Sn", "Sn"],
  "frac_coords": [[0.0000, 0.0000, 0.0000], [0.5000, 0.5000, 0.5000], [0.2500, 0.2500, 0.2500], [0.7500, 0.7500, 0.7500]]
}

---

{
  "formula": "AcAg2Sn",
  "functional": "PBE",
  "state": "optimized geometry",
  "energy_ev_per_atom": -3.601,
  "cell": [[3.9260, 0.0000, 0.0000], [0.0000, 3.9260, 0.0000], [0.0000, 0.0000, 6.9574]],
  "species": ["Ac", "Ag", "Ag", "Sn"],
  "frac_coords": [[0.0000, 0.0000, 0.0000], [0.5000, 0.5000, 0.2821], [0.5000, 0.5000, 0.7179], [0.0000, 0.0000, 0.5000]]
}

---

| no. | formation energy (meV/atom) |
| --- | --- |
| 1 | -239 |
| 2 | -148 |